Record 1
VASP calculation (GGA-PBE) on crystalline AlGaIr3 at its relaxed geometry.

Geometry as POSCAR:
```
AlGaIr3
1.0
4.4550 0.0000 0.0000
0.0000 4.4550 0.0000
0.0000 0.0000 4.4550
Al Ga Ir
1 1 3
Direct
0.0000 0.0000 0.0000
0.5000 0.5000 0.5000
0.0000 0.0000 0.5000
0.0000 0.5000 0.0000
0.5000 0.0000 0.0000
```

Properties
SG = No. 221
Excess energy over the best structure of this formula in the dataset = 0 meV per atom
Energy of formation = 84.38 kJ per mole of atoms

Record 2
VASP calculation (GGA-PBE) on crystalline AlGa4Ir5 at its relaxed geometry.

Geometry as POSCAR:
```
AlGa4Ir5
1.0
2.9857 0.0000 0.0000
0.0000 2.9857 0.0000
0.0000 0.0000 15.9479
Al Ga Ir
1 4 5
Direct
0.0000 0.0000 0.0000
0.0000 0.0000 0.1979
0.0000 0.0000 0.3990
0.0000 0.0000 0.6010
0.0000 0.0000 0.8021
0.5000 0.5000 0.0962
0.5000 0.5000 0.2963
0.5000 0.5000 0.5000
0.5000 0.5000 0.7037
0.5000 0.5000 0.9038
```

Properties
SG = No. 123
Energy of formation = -48.38 kJ per mole of atoms

Record 3
VASP calculation (GGA-PBE) on crystalline AlGaIr2 at its relaxed geometry.

Geometry as POSCAR:
```
AlGaIr2
1.0
2.9594 0.0000 0.0000
0.0000 2.9594 0.0000
0.0000 0.0000 6.4233
Al Ga Ir
1 1 2
Direct
0.0000 0.0000 0.0000
0.0000 0.0000 0.5000
0.5000 0.5000 0.2454
0.5000 0.5000 0.7546
```

Properties
SG = No. 123
Energy of formation = -63.82 kJ per mole of atoms

Record 4
VASP calculation (GGA-PBE) on crystalline Al6Ga2Ir at its relaxed geometry.

Geometry as POSCAR:
```
Al6Ga2Ir
1.0
3.1824 0.0000 0.0000
0.0000 6.8193 3.4474
0.0000 -6.8193 3.4474
Al Ga Ir
6 2 1
Direct
0.0000 0.0000 0.0000
0.0000 0.4363 0.6987
0.0000 0.6987 0.4363
0.5000 0.0652 0.7186
0.5000 0.3286 0.3286
0.5000 0.7186 0.0652
0.0000 0.0256 0.3913
0.0000 0.3913 0.0256
0.5000 0.7049 0.7049
```

Properties
SG = No. 38
Excess energy over the best structure of this formula in the dataset = 0 meV per atom
Energy of formation = -21.85 kJ per mole of atoms